Density functional theory data (meta-GGA SCAN) for a crystal of Ca2HgIr2 relaxed with PBEsol. Values from VASP.

Values from the calculation:
The calculation puts the density of states at the Fermi level at 8.80 states/eV/cell. The total energy comes out at -3.3784 Ry/atom. The volume comes out at 235.4 Å³ per cell. The formation energy is -0.03 eV per atom. The spin magnetization comes out at 0.0 μB/f.u.

```
&SYSTEM
  ibrav = 0, nat = 10, ntyp = 3
/
ATOMIC_SPECIES
Ca 40.08 Ca.upf
Hg 200.59 Hg.upf
Ir 192.22 Ir.upf
ATOMIC_POSITIONS angstrom
Ca 0.000 2.758 1.934
Ca 0.000 2.758 5.802
Ca 2.758 0.000 1.934
Ca 2.758 0.000 5.802
Hg 0.000 0.000 0.000
Hg 2.758 2.758 3.868
Ir 0.000 0.000 2.667
Ir 0.000 0.000 5.069
Ir 2.758 2.758 1.201
Ir 2.758 2.758 6.535
CELL_PARAMETERS angstrom
5.517 0.000 0.000
0.000 5.517 0.000
0.000 0.000 7.736
```

---

Density functional theory data (meta-GGA SCAN) for a crystal of Li2MgRu relaxed with PBEsol. Values from VASP.

Values from the calculation:
The calculation puts the density of states at the Fermi level at 1.59 states/eV/cell. The total energy comes out at -0.8099 Ry/atom. The volume comes out at 59.8 Å³ per cell. The formation energy is 0.13 eV per atom. The spin magnetization comes out at 0.0 μB/f.u.

```
&SYSTEM
  ibrav = 0, nat = 4, ntyp = 3
/
ATOMIC_SPECIES
Li 6.94 Li.upf
Mg 24.30 Mg.upf
Ru 101.07 Ru.upf
ATOMIC_POSITIONS angstrom
Li 0.000 0.000 0.000
Li 1.369 2.300 0.000
Mg 0.000 2.300 2.372
Ru 1.369 0.000 2.372
CELL_PARAMETERS angstrom
2.739 0.000 0.000
0.000 4.599 0.000
0.000 0.000 4.744
```

---

Density functional theory data (meta-GGA SCAN) for a crystal of Be4NiTe relaxed with PBEsol. Values from VASP.

Values from the calculation:
The calculation puts the density of states at the Fermi level at 1.90 states/eV/cell. The total energy comes out at -0.8466 Ry/atom. The calculation puts the raw formation energy at 167 kJ/mol of formula units. The volume comes out at 66.6 Å³ per cell. The spin magnetization comes out at 0.0 μB/f.u.

```
&SYSTEM
  ibrav = 0, nat = 6, ntyp = 3
/
ATOMIC_SPECIES
Be 9.01 Be.upf
Ni 58.69 Ni.upf
Te 127.60 Te.upf
ATOMIC_POSITIONS angstrom
Be 2.432 2.432 2.432
Be 4.004 4.004 2.432
Be 4.004 2.432 4.004
Be 2.432 4.004 4.004
Ni 4.827 4.827 4.827
Te 0.000 0.000 0.000
CELL_PARAMETERS angstrom
0.000 3.218 3.218
3.218 0.000 3.218
3.218 3.218 0.000
```

---

Density functional theory data (meta-GGA SCAN) for a crystal of Y2ZrRh relaxed with PBEsol. Values from VASP.

Values from the calculation:
The calculation puts the density of states at the Fermi level at 5.98 states/eV/cell. The total energy comes out at -2.2426 Ry/atom. The volume comes out at 184.3 Å³ per cell. The formation energy is -0.47 eV per atom. The spin magnetization comes out at 0.0 μB/f.u.

```
&SYSTEM
  ibrav = 0, nat = 8, ntyp = 3
/
ATOMIC_SPECIES
Y 88.91 Y.upf
Zr 91.22 Zr.upf
Rh 102.91 Rh.upf
ATOMIC_POSITIONS angstrom
Y 0.000 0.000 0.000
Y 0.000 2.558 2.143
Y 1.743 0.000 7.312
Y 1.743 2.558 5.169
Zr 0.000 2.558 8.238
Zr 1.743 0.000 3.069
Rh 0.000 0.000 5.034
Rh 1.743 2.558 10.203
CELL_PARAMETERS angstrom
3.485 0.000 0.000
0.000 5.116 0.000
0.000 0.000 10.338
```